The following is a DFT calculation (PBE) of crystalline Nd8P4S3 at its relaxed geometry.

Properties
space-group type = C2/m
E_form (uncorrected) = -1.6733 eV per atom

Lattice parameters (Å, degrees): 8.229 8.222 8.222 90.10 119.94 119.94
Positions (direct):
P1 0.500 0.000 0.000
P2 0.000 0.000 0.000
P3 0.000 0.000 0.500
P4 0.000 0.500 0.000
S1 0.500 0.000 0.500
S2 0.500 0.500 0.000
S3 0.500 0.500 0.500
Nd1 0.000 0.754 0.246
Nd2 0.000 0.246 0.754
Nd3 0.490 0.243 0.243
Nd4 0.500 0.753 0.247
Nd5 0.510 0.757 0.757
Nd6 0.003 0.753 0.753
Nd7 0.500 0.247 0.753
Nd8 0.997 0.247 0.247